[1]
# LiCu2Ru meta-GGA SCAN PBEsol geometry
# Energy above the most stable polymorph in this dataset   0.000 eV per formula unit
data_LiCu2Ru
_cell_length_a 5.253
_cell_length_b 7.478
_cell_length_c 2.461
_cell_angle_alpha 90.00
_cell_angle_beta 90.00
_cell_angle_gamma 90.00
_space_group_name_H-M_alt 'C m m m'
_space_group_IT_number 65
_space_group_name_Hall '-C 2 2'
loop_
_atom_site_label
_atom_site_type_symbol
_atom_site_fract_x
_atom_site_fract_y
_atom_site_fract_z
Li1 Li 0.000 0.000 0.000
Cu1 Cu 0.250 0.250 0.500
Ru1 Ru 0.000 0.500 0.000

***

[2]
# CaLa3H meta-GGA SCAN PBEsol geometry
# DFT total energy   -143.1 eV per cell
data_CaLa3H
_cell_length_a 5.218
_cell_length_b 5.218
_cell_length_c 5.218
_cell_angle_alpha 90.00
_cell_angle_beta 90.00
_cell_angle_gamma 90.00
_space_group_name_H-M_alt 'P m -3 m'
_space_group_IT_number 221
_space_group_name_Hall '-P 4 2 3'
loop_
_atom_site_label
_atom_site_type_symbol
_atom_site_fract_x
_atom_site_fract_y
_atom_site_fract_z
Ca1 Ca 0.000 0.000 0.000
La1 La 0.000 0.500 0.500
H1 H 0.500 0.500 0.500